(1)
The following is a DFT calculation (PBE-GGA) of a relaxed structure of La4DyHo2.

extended XYZ file:
```
14
Lattice="0.000 12.315 3.268 6.051 0.000 3.268 6.051 12.315 0.000" Properties=species:S:1:pos:R:3 pbc="T T T"
La 2.172 2.605 1.425
La 5.198 3.552 3.059
La 3.879 9.710 1.425
La 6.619 10.548 3.268
La 5.483 14.082 3.268
La 8.509 16.706 4.902
La 6.904 21.078 3.059
La 9.645 20.239 4.902
Dy 3.026 6.158 1.629
Dy 6.051 12.315 6.531
Ho 6.311 6.964 2.936
Ho 8.817 13.121 4.570
Ho 5.792 17.666 2.936
Ho 3.285 11.509 4.570
```

## Properties
Energy of formation: 48 kJ/mol of formula units


(2)
The following is a DFT calculation (PBE-GGA) of a relaxed structure of PrTmH.

extended XYZ file:
```
3
Lattice="3.648 0.000 0.000 -1.824 3.160 0.000 0.000 0.000 5.780" Properties=species:S:1:pos:R:3 pbc="T T T"
Pr 0.000 0.000 0.000
Tm 0.000 2.106 2.814
H 1.824 1.053 1.559
```

## Properties
E: -4.4039 eV per atom


(3)
The following is a DFT calculation (PBE-GGA) of a relaxed structure of NpTa2TcC4.

extended XYZ file:
```
16
Lattice="1.604 -5.648 0.000 1.604 5.648 0.000 0.000 0.000 11.143" Properties=species:S:1:pos:R:3 pbc="T T T"
Np 1.604 4.379 8.357
Np 1.604 -4.379 2.786
Ta 1.604 1.462 5.993
Ta 1.604 1.462 10.721
Ta 1.604 -1.462 0.422
Ta 1.604 -1.462 5.150
Tc 1.604 3.939 2.786
Tc 1.604 -3.939 8.357
C 0.000 0.000 0.000
C 0.000 0.000 5.571
C 1.604 2.653 1.284
C 1.604 2.653 4.288
C 1.604 0.517 8.357
C 1.604 -0.517 2.786
C 1.604 -2.653 6.855
C 1.604 -2.653 9.859
```

## Properties
Energy of formation: -112 kJ/mol of formula units


(4)
The following is a DFT calculation (PBE-GGA) of a relaxed structure of Sr3Cu2Pd7.

extended XYZ file:
```
12
Lattice="2.780 1.605 8.734 -2.780 1.605 8.734 0.000 -3.210 8.734" Properties=species:S:1:pos:R:3 pbc="T T T"
Sr 0.000 0.000 0.000
Sr 0.000 0.000 3.664
Sr 0.000 0.000 22.539
Cu 0.000 0.000 8.729
Cu 0.000 0.000 17.474
Pd -1.392 -0.804 10.807
Pd 0.000 -1.608 15.396
Pd -1.392 0.804 15.396
Pd 0.000 0.000 13.101
Pd 1.392 -0.804 10.807
Pd 0.000 1.608 10.807
Pd 1.392 0.804 15.396
```

## Properties
Energy of formation: -595 kJ/mol of formula units


(5)
The following is a DFT calculation (PBE-GGA) of a relaxed structure of Sc2TaCr.

extended XYZ file:
```
4
Lattice="2.780 -4.682 0.000 2.780 4.682 0.000 0.000 0.000 2.847" Properties=species:S:1:pos:R:3 pbc="T T T"
Sc 1.390 2.341 0.000
Sc 1.390 -2.341 0.000
Ta 0.000 0.000 1.423
Cr 2.780 0.000 1.423
```

## Properties
Energy of formation: 159 kJ/mol of formula units


(6)
The following is a DFT calculation (PBE-GGA) of a relaxed structure of InTcW2.

extended XYZ file:
```
4
Lattice="2.941 0.000 0.000 0.000 4.047 0.000 0.000 0.000 5.797" Properties=species:S:1:pos:R:3 pbc="T T T"
In 0.000 0.000 0.000
Tc 1.470 2.023 1.643
W 0.000 0.000 2.860
W 1.470 2.023 4.111
```

## Properties
Energy of formation: 149 kJ/mol of formula units


(7)
The following is a DFT calculation (PBE-GGA) of a relaxed structure of SiTcPtW2.

extended XYZ file:
```
5
Lattice="4.506 0.000 0.000 0.000 4.506 0.000 0.000 0.000 4.329" Properties=species:S:1:pos:R:3 pbc="T T T"
Si 0.000 0.000 0.000
Tc 2.253 2.253 2.164
Pt 0.000 0.000 2.164
W 0.000 2.253 0.000
W 2.253 0.000 0.000
```

## Properties
E: -8.4154 eV per atom


(8)
The following is a DFT calculation (PBE-GGA) of a relaxed structure of CdSiMo2.

extended XYZ file:
```
4
Lattice="-1.642 2.243 4.377 1.642 -2.243 4.377 1.642 2.243 -4.377" Properties=species:S:1:pos:R:3 pbc="T T T"
Cd 0.000 0.000 0.000
Si 0.000 2.243 2.127
Mo 1.642 0.000 2.396
Mo 0.000 0.000 4.510
```

## Properties
E: -6.7058 eV per atom


(9)
The following is a DFT calculation (PBE-GGA) of a relaxed structure of MgZnAg.

extended XYZ file:
```
3
Lattice="3.011 0.000 0.000 -1.505 2.607 0.000 0.000 0.000 6.866" Properties=species:S:1:pos:R:3 pbc="T T T"
Mg 0.000 0.000 0.000
Zn 1.505 0.869 2.327
Ag 0.000 1.738 4.537
```

## Properties
Energy of formation: -11 kJ/mol of formula units


(10)
The following is a DFT calculation (PBE-GGA) of a relaxed structure of Fe2ReTe.

extended XYZ file:
```
4
Lattice="3.141 0.000 0.000 0.000 3.141 0.000 0.000 0.000 6.075" Properties=species:S:1:pos:R:3 pbc="T T T"
Fe 0.000 0.000 0.000
Fe 1.571 1.571 1.261
Re 0.000 0.000 2.715
Te 1.571 1.571 4.462
```

## Properties
E: -7.6823 eV per atom


(11)
The following is a DFT calculation (PBE-GGA) of a relaxed structure of CeNdDy2.

extended XYZ file:
```
4
Lattice="0.000 4.026 4.026 4.026 0.000 4.026 4.026 4.026 0.000" Properties=species:S:1:pos:R:3 pbc="T T T"
Ce 0.000 0.000 0.000
Nd 4.026 4.026 4.026
Dy 2.013 2.013 2.013
Dy 6.039 6.039 6.039
```

## Properties
Energy of formation: 66 kJ/mol of formula units


(12)
The following is a DFT calculation (PBE-GGA) of a relaxed structure of BaTlHg2Cl8.

extended XYZ file:
```
12
Lattice="-3.463 3.463 7.563 3.463 -3.463 7.563 3.463 3.463 -7.563" Properties=species:S:1:pos:R:3 pbc="T T T"
Ba 0.000 0.000 0.000
Tl 3.463 0.000 3.781
Hg 0.000 0.000 7.563
Hg 0.000 3.463 3.781
Cl 1.582 1.256 -2.569
Cl 1.827 -1.175 6.229
Cl 2.288 1.637 1.333
Cl 2.207 -1.881 10.131
Cl 1.637 4.639 -1.333
Cl 1.881 2.207 4.994
Cl 1.175 1.827 8.896
Cl 1.256 5.344 2.569
```

## Properties
E: -2.6966 eV per atom


(13)
The following is a DFT calculation (PBE-GGA) of a relaxed structure of Sr2GeIr4.

extended XYZ file:
```
7
Lattice="-2.335 2.335 7.701 2.335 -2.335 7.701 2.335 2.335 -7.701" Properties=species:S:1:pos:R:3 pbc="T T T"
Sr 0.000 0.000 2.247
Sr 0.000 0.000 13.155
Ge 0.000 0.000 7.701
Ir 2.335 0.000 0.000
Ir 0.000 0.000 5.384
Ir 0.000 2.335 0.000
Ir 0.000 0.000 10.018
```

## Properties
Energy of formation: 389 kJ/mol of formula units


(14)
The following is a DFT calculation (PBE-GGA) of a relaxed structure of ScTa2B2Ru5.

extended XYZ file:
```
20
Lattice="9.409 0.000 0.000 0.000 9.409 0.000 0.000 0.000 3.055" Properties=species:S:1:pos:R:3 pbc="T T T"
Sc 0.000 0.000 0.000
Sc 4.705 4.705 0.000
Ta 1.670 3.035 0.000
Ta 3.035 7.739 0.000
Ta 6.375 1.670 0.000
Ta 7.739 6.375 0.000
B 1.160 5.865 0.000
B 3.544 1.160 0.000
B 5.865 8.249 0.000
B 8.249 3.544 0.000
Ru 0.000 4.705 1.527
Ru 0.675 7.340 1.527
Ru 2.070 0.675 1.527
Ru 2.635 5.380 1.527
Ru 4.030 2.635 1.527
Ru 4.705 0.000 1.527
Ru 5.380 6.775 1.527
Ru 6.775 4.030 1.527
Ru 7.340 8.734 1.527
Ru 8.734 2.070 1.527
```

## Properties
Energy of formation: -496 kJ/mol of formula units


(15)
The following is a DFT calculation (PBE-GGA) of a relaxed structure of KMg6Cd.

extended XYZ file:
```
8
Lattice="5.383 0.000 0.000 0.000 3.355 5.762 0.000 -3.355 5.762" Properties=species:S:1:pos:R:3 pbc="T T T"
K 0.000 0.000 0.000
Mg 0.000 -1.632 8.615
Mg 0.000 1.632 8.615
Mg 2.692 0.000 3.763
Mg 2.692 -1.553 6.702
Mg 2.692 1.553 6.702
Mg 2.692 0.000 9.441
Cd 0.000 0.000 5.761
```

## Properties
Energy of formation: 93 kJ/mol of formula units


(16)
The following is a DFT calculation (PBE-GGA) of a relaxed structure of CrMoHRu2.

extended XYZ file:
```
5
Lattice="3.881 0.000 0.000 0.000 3.881 0.000 0.000 0.000 3.827" Properties=species:S:1:pos:R:3 pbc="T T T"
Cr 0.000 0.000 0.000
Mo 1.940 1.940 0.000
H 0.000 0.000 1.913
Ru 0.000 1.940 1.913
Ru 1.940 0.000 1.913
```

## Properties
E: -8.4189 eV per atom


(17)
The following is a DFT calculation (PBE-GGA) of a relaxed structure of HfSnS2.

extended XYZ file:
```
8
Lattice="-3.243 3.243 5.471 3.243 -3.243 5.471 3.243 3.243 -5.471" Properties=species:S:1:pos:R:3 pbc="T T T"
Hf 0.000 0.000 0.000
Hf 0.000 3.243 2.736
Sn 3.243 0.000 2.736
Sn 0.000 0.000 5.471
S 4.865 1.164 -1.368
S 1.164 1.622 1.368
S -1.622 2.079 4.103
S 2.079 1.622 6.839
```

## Properties
E: -6.0665 eV per atom


(18)
The following is a DFT calculation (PBE-GGA) of a relaxed structure of PuCo2H9.

extended XYZ file:
```
24
Lattice="-3.948 3.948 2.392 3.948 -3.948 2.392 3.948 3.948 -2.392" Properties=species:S:1:pos:R:3 pbc="T T T"
Pu 3.948 1.974 0.598
Pu 0.000 1.974 1.794
Co 0.000 0.000 0.000
Co 1.974 1.974 -1.196
Co 1.974 -1.974 1.196
Co 0.000 3.948 0.000
H 3.948 -1.974 1.794
H 1.679 1.102 0.171
H 6.216 1.102 0.171
H 3.076 -0.295 1.025
H 4.820 -0.295 1.025
H 3.076 3.653 -1.025
H 0.872 -0.295 1.367
H 1.679 2.846 0.171
H 2.269 -1.102 2.563
H 1.679 5.050 -0.171
H 2.269 1.102 2.221
H 3.076 4.242 1.025
H 0.872 0.295 3.417
H -0.872 4.242 1.367
H 0.872 4.242 1.367
H -2.269 2.846 2.221
H 2.269 2.846 2.221
H 0.000 5.922 0.598
```

## Properties
E: -4.6858 eV per atom


(19)
The following is a DFT calculation (PBE-GGA) of a relaxed structure of Pr2TlPb5.

extended XYZ file:
```
16
Lattice="6.922 0.000 0.000 0.000 13.862 0.000 0.000 0.000 4.988" Properties=species:S:1:pos:R:3 pbc="T T T"
Pr 1.711 1.754 0.000
Pr 1.750 8.685 0.000
Pr 5.172 5.177 0.000
Pr 5.210 12.107 0.000
Tl 0.000 6.931 2.494
Tl 3.461 0.000 2.494
Pb 0.000 0.000 2.494
Pb 0.003 10.388 2.494
Pb 1.712 5.216 0.000
Pb 1.749 12.147 0.000
Pb 3.457 3.457 2.494
Pb 3.461 6.931 2.494
Pb 3.464 10.405 2.494
Pb 5.173 1.715 0.000
Pb 5.210 8.646 0.000
Pb 6.918 3.474 2.494
```

## Properties
Energy of formation: -300 kJ/mol of formula units


(20)
The following is a DFT calculation (PBE-GGA) of a relaxed structure of Zr2FeN.

extended XYZ file:
```
4
Lattice="1.607 0.928 6.695 -1.607 0.928 6.695 0.000 -1.856 6.695" Properties=species:S:1:pos:R:3 pbc="T T T"
Zr 0.000 0.000 4.707
Zr 0.000 0.000 15.377
Fe 0.000 0.000 0.000
N 0.000 0.000 10.042
```

## Properties
E: -9.1803 eV per atom


no.,DOS(E_F) (states/eV per atom)
1,1.73
2,0.92
3,1.00
4,0.37
5,1.34
6,0.64
7,0.76
8,0.62
9,0.27
10,0.75
11,2.68
12,0.51
13,1.31
14,0.57
15,0.23
16,1.11
17,0.78
18,0.93
19,0.46
20,0.48